Density functional theory data (PBE-GGA) for a geometry-optimized TlV2Pd structure.

Cell: 5.8016 5.8016 5.8016 Å, 102.44 102.44 124.70°
Sites, in units of the cell vectors:
1 Tl 0.0000 0.0000 0.0000
2 Tl 0.7500 0.2500 0.5000
3 V 0.1542 0.6250 0.0292
4 V 0.3750 0.4042 0.5292
5 V 0.5958 0.1250 0.9708
6 V 0.8750 0.8458 0.4708
7 Pd 0.2500 0.7500 0.5000
8 Pd 0.5000 0.5000 0.0000

**Mass density**: 9.64 g cm⁻³
**Calculated formation energy**: 0.62 eV/atom
**Magnetic moment**: 0.00 μB/atom